Record 1
Material: ScTcOs2
Method: DFT, PBE
State: relaxed

Computed properties:
Space-group type ... R-3m
Formation enthalpy at 0 K ... 143 meV per atom
Raw total energy ... -38.59 eV for the cell shown
DOS(E_F) ... 0.989 states/eV/atom

Unit cell a=9.1897 b=9.1897 c=9.1897 alpha=17.66 beta=17.66 gamma=17.66
Fractional positions:
Os: 0.4958 0.4958 0.4958
Sc: 0.2500 0.2500 0.2500
Tc: 0.7500 0.7500 0.7500
Os: 0.0042 0.0042 0.0042



Record 2
Material: ZrTlH2W
Method: DFT, PBE
State: relaxed

Computed properties:
Space-group type ... P4/mmm
Raw total energy ... -24.04 eV for the cell shown
DOS(E_F) ... 0.650 states/eV/atom

Unit cell a=3.7814 b=6.6829 c=3.7814 alpha=90.00 beta=90.00 gamma=90.00
Site moments in Bohr magnetons follow the coordinates.
Fractional positions:
W: 0.5000 0.5000 0.5000  0.79
Tl: 0.0000 0.0000 0.0000  -0.01
H: 0.5000 0.0000 0.0000  0.01
Zr: 0.0000 0.5000 0.0000  -0.04
H: 0.0000 0.0000 0.5000  0.00